[1]
Computed, not measured: a relaxed structure of Ac3Ga2Co at the PBE level of DFT.

- Crystal system: orthorhombic
- M_tot: 0.0 μB per cell
- Electronic total energy: -110.016 eV/cell

Lattice parameters (Å, degrees): 12.7128 4.2724 12.9225 90.00 90.00 90.00
Last column: nearest neighbours and their distance in Å.
Space group Pnma (No. 62)
Asymmetric unit:
Ac1 0.0500 0.2500 0.1310  5 Ga 3.24-3.49, 1 Co 3.35
Ac2 0.1168 0.7500 0.5502  3 Co 3.11-3.34, 5 Ga 3.20-3.30
Ac3 0.2245 0.2500 0.7942  2 Co 2.98, 3 Ga 3.16-3.32
Ga1 0.0282 0.7500 0.3187  2 Co 2.64
Ga2 0.1959 0.7500 0.9888  1 Co 2.59
Co1 0.1351 0.2500 0.3765  3 Ga 2.59-2.64

=====

[2]
Computed, not measured: a relaxed structure of Ac2Ga6Co3 at the PBE level of DFT.

- Crystal system: hexagonal
- M_tot: 1.2 μB per cell
- Electronic total energy: -50.871 eV/cell

Lattice parameters (Å, degrees): 7.6713 7.6713 4.1633 90.00 90.00 120.00
Last column: nearest neighbours and their distance in Å.
Space group P-62m (No. 189)
Asymmetric unit:
Ac1 0.3333 0.6667 0.0000  6 Co 3.21, 9 Ga 3.21-3.42
Ga1 0.0000 0.2970 0.5000  3 Co 2.58, 4 Ga 2.89
Ga2 0.0000 0.8031 0.0000  2 Co 2.45, 2 Ga 2.62
Co1 0.0000 0.6339 0.5000  5 Ga 2.45-2.58

=====

[3]
Computed, not measured: a relaxed structure of Ac7Ga2Co2 at the PBE level of DFT.

- Crystal system: orthorhombic
- M_tot: 0.0 μB per cell
- Electronic total energy: -100.299 eV/cell

Lattice parameters (Å, degrees): 8.2538 12.1418 7.3757 90.00 90.00 90.00
Last column: nearest neighbours and their distance in Å.
Space group Cmmm (No. 65)
Asymmetric unit:
Ac1 0.0000 0.0000 0.0000  2 Co 3.68, 4 Ga 3.90, 8 Ac 4.11
Ac2 0.0000 0.5000 0.2521  2 Co 3.03, 2 Ga 3.39
Ac3 0.2500 0.2500 0.2520  2 Co 2.85
Ga1 0.1548 0.0000 0.5000  1 Ga 2.55
Co1 0.0000 0.3030 0.0000  6 Ac 2.85-3.03